[1]
The following is a DFT calculation (PBE-GGA) of Tl2CdHgBi after structural relaxation.

abc: 8.0532 4.7602 8.8410
angles: 90.00 114.05 90.00
Last column: nearest neighbours and their distance in Å.
Sites, in units of the cell vectors:
Tl1 0.0361 0.2500 0.1890  3 Hg 3.33-3.64, 3 Bi 3.39-3.43
Tl2 0.3683 0.7500 0.5797  3 Hg 3.37-3.40, 3 Bi 3.44-3.49, 1 Cd 3.74
Tl3 0.6317 0.2500 0.4203  3 Hg 3.37-3.40, 3 Bi 3.44-3.49, 1 Cd 3.74
Tl4 0.9639 0.7500 0.8110  3 Hg 3.33-3.64, 3 Bi 3.39-3.43
Cd1 0.3575 0.2500 0.9623  1 Hg 2.92, 3 Bi 3.08-3.16, 2 Cd 3.18
Cd2 0.6425 0.7500 0.0377  1 Hg 2.92, 3 Bi 3.08-3.16, 2 Cd 3.18
Hg1 0.0922 0.2500 0.6183  1 Cd 2.92, 2 Hg 3.12
Hg2 0.9078 0.7500 0.3817  1 Cd 2.92, 2 Hg 3.12
Bi1 0.3365 0.7500 0.1744  3 Cd 3.08-3.16, 5 Tl 3.39-3.44
Bi2 0.6635 0.2500 0.8256  3 Cd 3.08-3.16, 5 Tl 3.39-3.44

## Properties
formation energy from the elements: -0.08 eV/f.u.
space group: P2_1/m (11)



[2]
The following is a DFT calculation (PBE-GGA) of ScCuRh4 after structural relaxation.

abc: 5.1366 5.1366 5.1366
angles: 60.00 60.00 60.00
Last column: nearest neighbours and their distance in Å.
Sites, in units of the cell vectors:
Sc1 0.0000 0.0000 0.0000  12 Rh 3.01, 4 Cu 3.15
Cu1 0.7500 0.7500 0.7500  12 Rh 3.01, 4 Sc 3.15
Rh1 0.3753 0.3753 0.3753  6 Rh 2.56-2.57
Rh2 0.3753 0.3753 0.8740  6 Rh 2.56-2.57
Rh3 0.3753 0.8740 0.3753  6 Rh 2.56-2.57
Rh4 0.8740 0.3753 0.3753  6 Rh 2.56-2.57

## Properties
formation energy from the elements: -1.11 eV/f.u.
space group: F-43m (216)



[3]
The following is a DFT calculation (PBE-GGA) of Pr2Nd3Zn3 after structural relaxation.

abc: 3.7583 5.3446 22.2411
angles: 90.00 90.00 90.00
Last column: nearest neighbours and their distance in Å.
Sites, in units of the cell vectors:
Pr1 0.0000 0.0000 0.2280  2 Zn 3.16, 4 Pr 3.41
Pr2 0.0000 0.0000 0.7720  2 Zn 3.16, 4 Pr 3.41
Pr3 0.5000 0.5000 0.2720  2 Zn 3.16, 4 Pr 3.41
Pr4 0.5000 0.5000 0.7280  2 Zn 3.16, 4 Pr 3.41
Nd1 0.0000 0.0000 0.0000  8 Zn 3.15-3.27
Nd2 0.0000 0.5000 0.1153  6 Zn 3.18-3.27
Nd3 0.0000 0.5000 0.8847  6 Zn 3.18-3.27
Nd4 0.5000 0.0000 0.3847  6 Zn 3.18-3.27
Nd5 0.5000 0.0000 0.6153  6 Zn 3.18-3.27
Nd6 0.5000 0.5000 0.5000  8 Zn 3.15-3.27
Zn1 0.0000 0.0000 0.5000  8 Nd 3.18-3.27
Zn2 0.0000 0.5000 0.3863  6 Nd 3.15-3.27, 2 Pr 3.16
Zn3 0.0000 0.5000 0.6137  6 Nd 3.15-3.27, 2 Pr 3.16
Zn4 0.5000 0.0000 0.1137  6 Nd 3.15-3.27, 2 Pr 3.16
Zn5 0.5000 0.0000 0.8863  6 Nd 3.15-3.27, 2 Pr 3.16
Zn6 0.5000 0.5000 0.0000  8 Nd 3.18-3.27

## Properties
formation energy from the elements: -1.71 eV/f.u.
space group: Immm (71)



[4]
The following is a DFT calculation (PBE-GGA) of KNaAlI5 after structural relaxation.

abc: 8.8232 8.8232 10.8070
angles: 105.09 105.09 102.29
Last column: nearest neighbours and their distance in Å.
Sites, in units of the cell vectors:
K1 0.1659 0.8341 0.7500  3 I 3.38-3.67
K2 0.8341 0.1659 0.2500  3 I 3.38-3.67
Na1 0.5000 0.5000 0.0000  2 I 2.96
Na2 0.5000 0.5000 0.5000  2 I 2.96
Al1 0.1619 0.8381 0.2500  4 I 2.57-2.58
Al2 0.8381 0.1619 0.7500  4 I 2.57-2.58
I1 0.1150 0.2209 0.9365  1 Al 2.58
I2 0.1534 0.6175 0.3661  1 Al 2.57
I3 0.2209 0.1150 0.4365  1 Al 2.58
I4 0.3825 0.8466 0.1339  1 Al 2.57
I5 0.4117 0.5883 0.7500  2 Na 2.96
I6 0.5883 0.4117 0.2500  2 Na 2.96
I7 0.6175 0.1534 0.8661  1 Al 2.57
I8 0.7791 0.8850 0.5635  1 Al 2.58
I9 0.8466 0.3825 0.6339  1 Al 2.57
I10 0.8850 0.7791 0.0635  1 Al 2.58

## Properties
space group: C2/c (15)
uncorrected formation energy: -1.007 eV per atom



[5]
The following is a DFT calculation (PBE-GGA) of PrInTe2 after structural relaxation.

abc: 5.4193 5.4193 4.0548
angles: 90.00 90.00 90.00
Last column: nearest neighbours and their distance in Å.
Sites, in units of the cell vectors:
Pr1 0.0000 0.0000 0.0000  8 Te 3.38
In1 0.5000 0.5000 0.0000  8 Te 3.38
Te1 0.0000 0.5000 0.5000  4 In 3.38, 4 Pr 3.38
Te2 0.5000 0.0000 0.5000  4 In 3.38, 4 Pr 3.38

## Properties
space group: P4/mmm (123)
uncorrected formation energy: -0.809 eV per atom



[6]
The following is a DFT calculation (PBE-GGA) of NaSr4Nb3O12 after structural relaxation.

abc: 7.1403 7.1403 7.1403
angles: 109.47 109.47 109.47
Last column: nearest neighbours and their distance in Å.
Sites, in units of the cell vectors:
Na1 0.0000 0.0000 0.0000  6 O 2.20
Sr1 0.0000 0.0000 0.5000  12 O 2.92
Sr2 0.0000 0.5000 0.0000  12 O 2.92
Sr3 0.5000 0.0000 0.0000  12 O 2.92
Sr4 0.5000 0.5000 0.5000  12 O 2.92
Nb1 0.0000 0.5000 0.5000  6 O 1.92-2.06
Nb2 0.5000 0.0000 0.5000  6 O 1.92-2.06
Nb3 0.5000 0.5000 0.0000  6 O 1.92-2.06
O1 0.0000 0.2672 0.2672  1 Nb 1.92
O2 0.0000 0.7328 0.7328  1 Nb 1.92
O3 0.2500 0.5000 0.7500  2 Nb 2.06
O4 0.2500 0.7500 0.5000  2 Nb 2.06
O5 0.2672 0.0000 0.2672  1 Nb 1.92
O6 0.2672 0.2672 0.0000  1 Nb 1.92
O7 0.5000 0.2500 0.7500  2 Nb 2.06
O8 0.5000 0.7500 0.2500  2 Nb 2.06
O9 0.7328 0.0000 0.7328  1 Nb 1.92
O10 0.7328 0.7328 0.0000  1 Nb 1.92
O11 0.7500 0.2500 0.5000  2 Nb 2.06
O12 0.7500 0.5000 0.2500  2 Nb 2.06

## Properties
space group: Im-3m (229)
uncorrected formation energy: -2.697 eV per atom